# TlAg2Pd6 GGA-PBE relaxed
data_TlAg2Pd6
_cell_length_a 7.6849
_cell_length_b 4.7185
_cell_length_c 8.3579
_cell_angle_alpha 90.00
_cell_angle_beta 95.52
_cell_angle_gamma 90.00
_space_group_name_H-M_alt 'C 1 2/m 1'
_space_group_IT_number 12
_space_group_name_Hall '-C 2y'
loop_
_atom_site_label
_atom_site_type_symbol
_atom_site_fract_x
_atom_site_fract_y
_atom_site_fract_z
_atom_site_occupancy
Tl1 Tl 0.0000 0.0000 0.0000 1
Ag1 Ag 0.1597 0.5000 0.7673 1
Pd1 Pd 0.0064 0.0000 0.3375 1
Pd2 Pd 0.1705 0.5000 0.1109 1
Pd3 Pd 0.1708 0.5000 0.4437 1
# Energy ... -79.40 eV per cell
# DFT formation energy ... -0.05 eV/atom
# Relative energy among the computed polymorphs ... 0 meV per atom
# M_tot ... 0.00 μB per cell